DFT (GGA+U) results for a relaxed MgWF2 crystal.

Output
Total magnetic moment = 0.00 μB per cell
Electronic total energy = -4.64 eV/atom
Distance to the lowest polymorph of the same formula = 0.000 eV per atom
Crystal system = trigonal

Cell lengths 9.559, 9.559, 9.559 Å; angles 17.13, 17.13, 17.13 degrees
Positions (direct):
Mg 0.500 0.500 0.500
W 0.000 0.000 0.000
F 0.870 0.870 0.870
F 0.130 0.130 0.130